Compound: Cs2ThBr5F
Source: Alexandria via LeMat-Bulk
Functional: PBE-GGA
Structure: optimized geometry

Unit cell a=8.0097 b=8.0097 c=8.0097 alpha=117.78 beta=117.78 gamma=93.90
Closest atoms and distances in Å follow each position.
Sites, in units of the cell vectors:
Cs: 0.0000 0.5000 0.5000  10 Br 3.99-4.14, 2 F 4.18
Cs: 0.5000 0.0000 0.5000  10 Br 3.99-4.14, 2 F 4.18
Th: 0.2517 0.2517 0.0000  1 F 2.13
Br: 0.0025 0.0025 0.5082  1 Th 2.88
Br: 0.0025 0.4943 0.0000  1 Th 2.88
Br: 0.4943 0.0025 0.0000  1 Th 2.88
Br: 0.4943 0.4943 0.4918  1 Th 2.88
Br: 0.9907 0.9907 0.0000  1 Th 2.85
F: 0.4463 0.4463 0.0000  1 Th 2.13

Output
- E (eV/atom) = -4.28
- space-group type = I4mm, No. 107
- formation energy from raw total energies (meV per atom) = -2127
- total moment (μB per cell) = 0.0